(1)
Crystalline Cs5Hg at its relaxed geometry, computed with PBE-GGA.

CIF file:
```
data_Cs5Hg
_symmetry_space_group_name_H-M 'C m m m'
_symmetry_Int_Tables_number 65
_symmetry_space_group_name_Hall '-C 2 2'
_cell_length_a 7.188
_cell_length_b 20.839
_cell_length_c 7.173
_cell_angle_alpha 90.00
_cell_angle_beta 90.00
_cell_angle_gamma 90.00
loop_
_atom_site_label
_atom_site_fract_x
_atom_site_fract_y
_atom_site_fract_z
Cs1 0.000 0.000 0.000
Cs2 0.000 0.150 0.500
Cs3 0.000 0.349 0.000
Hg1 0.000 0.500 0.500
```

Calculated values
magnetic moment = 0.000 μB per atom
theoretical density = 2.67 g/cm3
energy = -0.78 eV per atom
E above lowest polymorph = 36.3 meV/atom

---

(2)
Crystalline Cs2Hg13 at its relaxed geometry, computed with PBE-GGA.

CIF file:
```
data_Cs2Hg13
_symmetry_space_group_name_H-M 'R -3 m'
_symmetry_Int_Tables_number 166
_symmetry_space_group_name_Hall '-R 3 2"'
_cell_length_a 8.6543
_cell_length_b 8.6543
_cell_length_c 24.8659
_cell_angle_alpha 90.00
_cell_angle_beta 90.00
_cell_angle_gamma 120.00
loop_
_atom_site_label
_atom_site_fract_x
_atom_site_fract_y
_atom_site_fract_z
Cs1 0.0000 0.0000 0.1621
Hg1 0.0000 0.0000 0.0000
Hg2 0.0794 0.5397 0.3742
Hg3 0.0911 0.5456 0.2450
```

Calculated values
magnetic moment = 0.000 μB per atom
theoretical density = 8.88 g/cm3
energy = -0.49 eV per atom
E above lowest polymorph = 0.0 meV/atom

---

Quick rundown of Fermi-level density of states, same order as above: 0.785; 0.423 states/eV/atom